1.
The following is a PBE-GGA calculation of SbPdPtRh after structural relaxation, from Alexandria via LeMat-Bulk.

Offset from the most stable computed form, eV/atom: 0.000
Electronic total energy, eV/atom: -5.931
ΔE_f (raw), eV per atom: -0.25

a b c (Å): 4.1829 4.1829 7.4825
angles (deg): 90.00 90.00 90.00
Fractional positions:
1 Pt 0.0000 0.0000 0.5000
2 Pd 0.0000 0.5000 0.2542
3 Rh 0.0000 0.0000 0.0000
4 Pt 0.5000 0.5000 0.5000
5 Sb 0.5000 0.0000 0.2309
6 Sb 0.0000 0.5000 0.7691
7 Rh 0.5000 0.5000 0.0000
8 Pd 0.5000 0.0000 0.7458


2.
The following is a PBE-GGA calculation of HfBeGaTe2 after structural relaxation, from Alexandria via LeMat-Bulk.

Offset from the most stable computed form, eV/atom: 0.145
Electronic total energy, eV/atom: -4.122
ΔE_f (raw), eV per atom: 0.48

a b c (Å): 4.9045 4.8764 4.9045
angles (deg): 90.00 90.00 90.00
Fractional positions:
1 Te 0.5000 0.0000 0.0000
2 Hf 0.0000 0.5000 0.0000
3 Be 0.0000 0.0000 0.0000
4 Te 0.0000 0.0000 0.5000
5 Ga 0.5000 0.5000 0.5000


3.
The following is a PBE-GGA calculation of Ca2Bi2Sb after structural relaxation, from Alexandria via LeMat-Bulk.

Offset from the most stable computed form, eV/atom: 0.000
Electronic total energy, eV/atom: -3.723
ΔE_f (raw), eV per atom: -0.55

a b c (Å): 8.4526 8.4526 4.5035
angles (deg): 90.00 90.00 90.00
Fractional positions:
1 Sb 0.0000 0.0000 0.0000
2 Ca 0.6651 0.8349 0.5000
3 Bi 0.8606 0.6394 0.0000
4 Sb 0.5000 0.5000 0.0000
5 Bi 0.6394 0.1394 0.0000
6 Bi 0.3606 0.8606 0.0000
7 Bi 0.1394 0.3606 0.0000
8 Ca 0.3349 0.1651 0.5000
9 Ca 0.8349 0.3349 0.5000
10 Ca 0.1651 0.6651 0.5000